MnPt2W | PBE | optimized geometry Values from VASP.

Quantum ESPRESSO input file:
```
&SYSTEM
  ibrav = 0, nat = 4, ntyp = 3
/
ATOMIC_SPECIES
Mn 54.94 Mn.upf
Pt 195.08 Pt.upf
W 183.84 W.upf
ATOMIC_POSITIONS crystal
Mn 0.000 0.000 0.000
Pt 0.500 0.500 0.000
Pt 0.750 0.250 0.500
W 0.250 0.750 0.500
CELL_PARAMETERS angstrom
-1.950 1.950 3.911
1.950 -1.950 3.911
1.950 1.950 -3.911
```

Space group: I-4m2
ΔE_f, eV/atom: -0.20
E_tot, eV for the cell shown: -35.0

PmHgPbI6 | PBE | optimized geometry Values from VASP.

Quantum ESPRESSO input file:
```
&SYSTEM
  ibrav = 0, nat = 9, ntyp = 4
/
ATOMIC_SPECIES
Pm 145.00 Pm.upf
Hg 200.59 Hg.upf
Pb 207.20 Pb.upf
I 126.90 I.upf
ATOMIC_POSITIONS crystal
Pm 0.000 0.000 0.000
Hg 0.333 0.667 0.500
Pb 0.666 0.334 0.000
I 0.321 0.313 0.754
I 0.322 0.009 0.247
I 0.686 0.008 0.754
I 0.687 0.679 0.246
I 0.991 0.678 0.753
I 0.992 0.314 0.246
CELL_PARAMETERS angstrom
4.002 -6.936 0.000
4.002 6.936 0.000
-0.012 0.000 7.348
```

Space group: C2
E_tot, eV for the cell shown: -25.4

CaPm7Pr3 | PBE | optimized geometry Values from VASP.

Quantum ESPRESSO input file:
```
&SYSTEM
  ibrav = 0, nat = 11, ntyp = 3
/
ATOMIC_SPECIES
Ca 40.08 Ca.upf
Pm 145.00 Pm.upf
Pr 140.91 Pr.upf
ATOMIC_POSITIONS crystal
Ca 0.000 0.000 0.000
Pm 0.000 0.000 0.500
Pm 0.072 0.415 0.756
Pm 0.265 0.265 0.292
Pm 0.415 0.072 0.756
Pm 0.585 0.928 0.244
Pm 0.735 0.735 0.708
Pm 0.928 0.585 0.244
Pr 0.327 0.673 0.500
Pr 0.500 0.500 0.000
Pr 0.673 0.327 0.500
CELL_PARAMETERS angstrom
5.980 -5.149 0.000
5.980 5.149 0.000
-0.522 0.000 6.604
```

Space group: C2/m
ΔE_f, eV/atom: 0.21
E_tot, eV for the cell shown: -47.2

CePm2Sb3 | PBE | optimized geometry Values from VASP.

Quantum ESPRESSO input file:
```
&SYSTEM
  ibrav = 0, nat = 6, ntyp = 3
/
ATOMIC_SPECIES
Ce 140.12 Ce.upf
Pm 145.00 Pm.upf
Sb 121.76 Sb.upf
ATOMIC_POSITIONS crystal
Ce 0.000 0.000 0.000
Pm 0.333 0.333 0.000
Pm 0.667 0.667 0.000
Sb 0.166 0.666 0.500
Sb 0.500 0.000 0.500
Sb 0.834 0.334 0.500
CELL_PARAMETERS angstrom
-2.244 3.175 6.749
2.244 -3.175 6.749
2.244 3.175 -6.749
```

Space group: Immm
E_tot, eV for the cell shown: -34.7

LaSbTe2Br | PBE | optimized geometry Values from VASP.

Quantum ESPRESSO input file:
```
&SYSTEM
  ibrav = 0, nat = 5, ntyp = 4
/
ATOMIC_SPECIES
La 138.91 La.upf
Sb 121.76 Sb.upf
Te 127.60 Te.upf
Br 79.90 Br.upf
ATOMIC_POSITIONS crystal
La 0.000 0.000 0.000
Sb 0.000 0.000 0.500
Te 0.000 0.500 0.000
Te 0.500 0.000 0.000
Br 0.500 0.500 0.500
CELL_PARAMETERS angstrom
6.061 0.000 0.000
0.000 6.061 0.000
0.000 0.000 6.405
```

Space group: P4/mmm
E_tot, eV for the cell shown: -16.6

SbTe2Pt | PBE | optimized geometry Values from VASP.

Quantum ESPRESSO input file:
```
&SYSTEM
  ibrav = 0, nat = 4, ntyp = 3
/
ATOMIC_SPECIES
Sb 121.76 Sb.upf
Te 127.60 Te.upf
Pt 195.08 Pt.upf
ATOMIC_POSITIONS crystal
Sb 0.000 0.000 0.000
Te 0.500 0.500 0.285
Te 0.500 0.500 0.715
Pt 0.000 0.000 0.500
CELL_PARAMETERS angstrom
3.549 0.000 0.000
0.000 3.549 0.000
0.000 0.000 7.631
```

Space group: P4/mmm
E_tot, eV for the cell shown: -15.4

SiWAu | PBE | optimized geometry Values from VASP.

Quantum ESPRESSO input file:
```
&SYSTEM
  ibrav = 0, nat = 3, ntyp = 3
/
ATOMIC_SPECIES
Si 28.09 Si.upf
W 183.84 W.upf
Au 196.97 Au.upf
ATOMIC_POSITIONS crystal
Si 0.000 0.000 0.000
W 0.333 0.667 0.308
Au 0.667 0.333 0.670
CELL_PARAMETERS angstrom
2.893 0.000 0.000
-1.446 2.505 0.000
0.000 0.000 6.578
```

Space group: P3m1
E_tot, eV for the cell shown: -20.9

Tb2ZrS5 | PBE | optimized geometry Values from VASP.

Quantum ESPRESSO input file:
```
&SYSTEM
  ibrav = 0, nat = 32, ntyp = 3
/
ATOMIC_SPECIES
Tb 158.93 Tb.upf
Zr 91.22 Zr.upf
S 32.06 S.upf
ATOMIC_POSITIONS crystal
Tb 0.179 0.003 0.022
Tb 0.179 0.497 0.022
Tb 0.321 0.503 0.522
Tb 0.321 0.997 0.522
Tb 0.679 0.003 0.478
Tb 0.679 0.497 0.478
Tb 0.821 0.503 0.978
Tb 0.821 0.997 0.978
Zr 0.007 0.750 0.579
Zr 0.493 0.250 0.079
Zr 0.507 0.750 0.921
Zr 0.993 0.250 0.421
S 0.003 0.750 0.949
S 0.094 0.037 0.661
S 0.094 0.463 0.661
S 0.182 0.750 0.331
S 0.208 0.250 0.309
S 0.292 0.750 0.809
S 0.318 0.250 0.831
S 0.406 0.537 0.161
S 0.406 0.963 0.161
S 0.497 0.250 0.449
S 0.503 0.750 0.551
S 0.594 0.037 0.839
S 0.594 0.463 0.839
S 0.682 0.750 0.169
S 0.708 0.250 0.191
S 0.792 0.750 0.691
S 0.818 0.250 0.669
S 0.906 0.537 0.339
S 0.906 0.963 0.339
S 0.997 0.250 0.051
CELL_PARAMETERS angstrom
11.620 0.000 0.000
0.000 7.788 0.000
0.000 0.000 7.288
```

Space group: Pnma
E_tot, eV for the cell shown: -214.0